Material: Cs2RhF4
Method: DFT, GGA-PBE
State: relaxed

Summary:
- M_tot (μB/atom) = 0.08
- formation energy without anion corrections (kJ/mol of atoms) = -200.75
- density of states at the Fermi level (states/eV per cell) = 1.53
- space-group type = I4/mmm

Cell: 7.922 7.922 7.922 Å, 147.30 147.30 46.92°
Atoms (fractional coordinates):
Cs 0.143 0.143 0.000
Cs 0.857 0.857 0.000
Rh 0.500 0.500 0.000
F 0.000 0.500 0.500
F 0.357 0.357 0.000
F 0.500 0.000 0.500
F 0.643 0.643 0.000